A relaxed structure of Sm5ErTm, computed with PBE.

Cell lengths 6.236, 6.602, 6.623 Å; angles 117.72, 96.27, 96.29 degrees
Sites, in units of the cell vectors:
1 Sm 0.000 0.000 0.000
2 Sm 0.272 0.084 0.583
3 Sm 0.499 0.688 0.808
4 Sm 0.501 0.312 0.192
5 Sm 0.728 0.916 0.417
6 Er 0.000 0.500 0.000
7 Tm 0.000 0.500 0.500

Its final energy is -4.465 eV per atom. For the formation energy, the calculation gives 4.52 kcal/mol of atoms. For the total moment, the calculation gives 0.00 μB per atom. The density of states at the Fermi level comes out at 12.315 states/eV/cell.